1.
A plane-wave DFT calculation with GGA-PBE was carried out for a geometry-optimized P3W structure.

size of the total moment: 0.00 μB/cell
ΔE to the lowest computed polymorph: 0 meV/atom

Lattice parameters (Å, degrees): 4.7905 4.7905 4.7905 139.49 76.03 118.75
Sites, in units of the cell vectors:
P: 0.0000 0.0000 0.0000
P: 0.4761 0.6627 0.8134
P: 0.8493 0.6627 0.1866
W: 0.3674 0.8674 0.5000



2.
A plane-wave DFT calculation with GGA-PBE was carried out for a geometry-optimized KMn4W2 structure.

size of the total moment: 14.24 μB/cell
DFT total energy: -7.13 eV per atom

Lattice parameters (Å, degrees): 7.4838 7.4838 7.4838 141.55 141.55 55.50
Sites, in units of the cell vectors:
K: 0.0000 0.0000 0.0000
Mn: 0.0000 0.5000 0.5000
Mn: 0.2148 0.2148 0.0000
Mn: 0.5000 0.0000 0.5000
Mn: 0.7852 0.7852 0.0000
W: 0.4116 0.4116 0.0000
W: 0.5884 0.5884 0.0000



3.
A plane-wave DFT calculation with GGA-PBE was carried out for a geometry-optimized LaMg2W structure.

size of the total moment: 0.00 μB/cell
ΔE to the lowest computed polymorph: 23 meV/atom

Lattice parameters (Å, degrees): 2.9604 2.9604 10.2065 90.00 90.00 90.00
Sites, in units of the cell vectors:
La: 0.0000 0.0000 0.0000
Mg: 0.0000 0.0000 0.5401
Mg: 0.5000 0.5000 0.2941
W: 0.5000 0.5000 0.7472



4.
A plane-wave DFT calculation with GGA-PBE was carried out for a geometry-optimized Na6MgI8 structure.

size of the total moment: 0.00 μB/cell
energy relative to the elements, uncorrected: -1213 meV per atom

Lattice parameters (Å, degrees): 9.1688 9.1688 9.1688 60.00 60.00 60.00
Sites, in units of the cell vectors:
Na: 0.0000 0.0000 0.5000
Na: 0.0000 0.5000 0.0000
Na: 0.0000 0.5000 0.5000
Na: 0.5000 0.0000 0.0000
Na: 0.5000 0.0000 0.5000
Na: 0.5000 0.5000 0.0000
Mg: 0.0000 0.0000 0.0000
I: 0.2303 0.2303 0.7697
I: 0.2303 0.7697 0.2303
I: 0.2303 0.7697 0.7697
I: 0.2500 0.2500 0.2500
I: 0.7500 0.7500 0.7500
I: 0.7697 0.2303 0.2303
I: 0.7697 0.2303 0.7697
I: 0.7697 0.7697 0.2303



5.
A plane-wave DFT calculation with GGA-PBE was carried out for a geometry-optimized PrDy5Ho3 structure.

size of the total moment: 0.00 μB/cell
ΔE to the lowest computed polymorph: 0 meV/atom

Lattice parameters (Å, degrees): 9.9431 9.9431 11.2510 110.48 110.48 35.41
Sites, in units of the cell vectors:
Pr: 0.0983 0.9017 0.7500
Pr: 0.9017 0.0983 0.2500
Dy: 0.0840 0.5855 0.2990
Dy: 0.0991 0.5656 0.9694
Dy: 0.4122 0.5878 0.2500
Dy: 0.4145 0.9160 0.2010
Dy: 0.4344 0.9009 0.5306
Dy: 0.5656 0.0991 0.4694
Dy: 0.5855 0.0840 0.7990
Dy: 0.5878 0.4122 0.7500
Dy: 0.9009 0.4344 0.0306
Dy: 0.9160 0.4145 0.7010
Ho: 0.0000 0.0000 0.0000
Ho: 0.0000 0.0000 0.5000
Ho: 0.0553 0.5920 0.6319
Ho: 0.4080 0.9447 0.8681
Ho: 0.5920 0.0553 0.1319
Ho: 0.9447 0.4080 0.3681



6.
A plane-wave DFT calculation with GGA-PBE was carried out for a geometry-optimized TiV2Ni6 structure.

size of the total moment: 0.00 μB/cell
DFT total energy: -6.94 eV per atom

Lattice parameters (Å, degrees): 6.9375 6.9375 2.5077 100.15 100.15 65.19
Sites, in units of the cell vectors:
Ti: 0.0000 0.0000 0.0000
V: 0.3390 0.3390 0.8423
V: 0.6610 0.6610 0.1577
Ni: 0.0034 0.3457 0.1792
Ni: 0.3243 0.6757 0.5000
Ni: 0.3457 0.0034 0.1792
Ni: 0.6543 0.9966 0.8208
Ni: 0.6757 0.3243 0.5000
Ni: 0.9966 0.6543 0.8208



7.
A plane-wave DFT calculation with GGA-PBE was carried out for a geometry-optimized Pm2Tl3Te6Pb structure.

size of the total moment: 0.00 μB/cell
energy relative to the elements, uncorrected: -799 meV per atom

Lattice parameters (Å, degrees): 7.9620 7.9620 8.3397 99.13 99.13 120.03
Sites, in units of the cell vectors:
Pm: 0.1676 0.8324 0.0000
Pm: 0.8324 0.1676 0.0000
Tl: 0.0000 0.0000 0.5000
Tl: 0.3364 0.6636 0.5000
Tl: 0.6636 0.3364 0.5000
Te: 0.0789 0.4236 0.7723
Te: 0.2293 0.2293 0.2233
Te: 0.4236 0.0789 0.7723
Te: 0.5764 0.9211 0.2277
Te: 0.7707 0.7707 0.7767
Te: 0.9211 0.5764 0.2277
Pb: 0.5000 0.5000 0.0000



8.
A plane-wave DFT calculation with GGA-PBE was carried out for a geometry-optimized Ce2MgSiPt6 structure.

size of the total moment: 3.39 μB/cell
energy relative to the elements, uncorrected: -867 meV per atom

Lattice parameters (Å, degrees): 5.5759 8.7100 8.3932 90.00 90.00 90.00
Sites, in units of the cell vectors:
Ce: 0.2500 0.0005 0.2325
Ce: 0.2500 0.4995 0.2325
Ce: 0.7500 0.5005 0.7675
Ce: 0.7500 0.9995 0.7675
Mg: 0.2500 0.7500 0.7858
Mg: 0.7500 0.2500 0.2142
Si: 0.2500 0.2500 0.7284
Si: 0.7500 0.7500 0.2716
Pt: 0.0003 0.2500 0.9564
Pt: 0.9997 0.7500 0.0436
Pt: 0.0014 0.7500 0.5135
Pt: 0.2500 0.0011 0.6048
Pt: 0.2500 0.4989 0.6048
Pt: 0.4986 0.7500 0.5135
Pt: 0.4997 0.2500 0.9564
Pt: 0.5003 0.7500 0.0436
Pt: 0.5014 0.2500 0.4865
Pt: 0.7500 0.5011 0.3952
Pt: 0.7500 0.9989 0.3952
Pt: 0.9986 0.2500 0.4865